Cs2SrPbI6 | GGA-PBE | relaxed

## Properties
As for the volume: 53.42 Å³/atom. For the formation energy without anion corrections, the calculation gives -1.3058 eV/atom. Its space group is Fm-3m (225). The value obtained for the density is 4.11 Mg/m³. The relative energy among the computed polymorphs comes out at 29 kJ/mol of formula units.

Unit cell a=9.1079 b=9.1079 c=9.1079 alpha=60.00 beta=60.00 gamma=60.00
Positions (direct):
Cs 0.2500 0.2500 0.2500
Cs 0.7500 0.7500 0.7500
Sr 0.0000 0.0000 0.0000
Pb 0.5000 0.5000 0.5000
I 0.2511 0.2511 0.7489
I 0.2511 0.7489 0.2511
I 0.2511 0.7489 0.7489
I 0.7489 0.2511 0.2511
I 0.7489 0.2511 0.7489
I 0.7489 0.7489 0.2511

LaPrOsAu | GGA-PBE | relaxed

## Properties
As for the volume: 24.30 Å³/atom. Its space group is F-43m (216). The value obtained for the formation energy is -0.293 eV/atom. The value obtained for the density is 11.40 Mg/m³.

Unit cell a=5.1607 b=5.1607 c=5.1607 alpha=60.00 beta=60.00 gamma=60.00
Positions (direct):
La 0.0000 0.0000 0.0000
Pr 0.5000 0.5000 0.5000
Os 0.2500 0.2500 0.2500
Au 0.7500 0.7500 0.7500